VASP calculation (GGA+U) on crystalline Li2TiV3O8 at its relaxed geometry.

Values from the calculation:
- distance to the lowest polymorph of the same formula (kJ/mol of formula units) = 26
- crystal system = trigonal
- magnetization (μB/cell) = 5.00
- ρ (g cm⁻³) = 3.8

Lattice parameters (Å, degrees): 5.9938 5.9938 5.9938 59.33 59.33 59.33
Last column: nearest neighbours and their distance in Å.
Fractional coordinates of all 14 atoms:
1 Li 0.1262 0.1262 0.1262  4 O 1.99-2.01
2 Li 0.8738 0.8738 0.8738  4 O 1.99-2.01
3 Ti 0.5000 0.5000 0.5000  6 O 1.99
4 V 0.0000 0.5000 0.5000  6 O 2.01-2.03
5 V 0.5000 0.0000 0.5000  6 O 2.01-2.03
6 V 0.5000 0.5000 0.0000  6 O 2.01-2.03
7 O 0.2626 0.2626 0.2626  3 V 2.01, 1 Li 2.01
8 O 0.2649 0.2649 0.7159  1 Ti 1.99, 1 Li 1.99, 2 V 2.03
9 O 0.2649 0.7159 0.2649  1 Ti 1.99, 1 Li 1.99, 2 V 2.03
10 O 0.2841 0.7351 0.7351  1 Ti 1.99, 1 Li 1.99, 2 V 2.03
11 O 0.7159 0.2649 0.2649  1 Ti 1.99, 1 Li 1.99, 2 V 2.03
12 O 0.7351 0.2841 0.7351  1 Ti 1.99, 1 Li 1.99, 2 V 2.03
13 O 0.7351 0.7351 0.2841  1 Ti 1.99, 1 Li 1.99, 2 V 2.03
14 O 0.7374 0.7374 0.7374  3 V 2.01, 1 Li 2.01